Entry 1:
BeV2PbO6 GGA+U relaxed; final energy = -7.106 eV/atom; theoretical density = 4.79 g/cm3
1.0
5.4729 -4.7497 0.0000
5.4729 4.7497 0.0000
-2.9345 0.0000 5.5273
Be V Pb O
2 4 2 12
direct
0.1934 0.8066 0.7500 Be
0.8066 0.1934 0.2500 Be
0.2179 0.3725 0.3490 V
0.3725 0.2179 0.8490 V
0.6275 0.7821 0.1510 V
0.7821 0.6275 0.6510 V
0.1470 0.8530 0.2500 Pb
0.8530 0.1470 0.7500 Pb
0.0186 0.1947 0.2037 O
0.1912 0.6267 0.5056 O
0.1947 0.0186 0.7037 O
0.2636 0.3818 0.0786 O
0.3733 0.8088 0.9944 O
0.3818 0.2636 0.5786 O
0.6182 0.7364 0.4214 O
0.6267 0.1912 0.0056 O
0.7364 0.6182 0.9214 O
0.8053 0.9814 0.2963 O
0.8088 0.3733 0.4944 O
0.9814 0.8053 0.7963 O


Entry 2:
Be2VPb2O6 GGA+U relaxed; final energy = -6.553 eV/atom; theoretical density = 7.32 g/cm3
1.0
2.7016 1.5598 5.1980
-2.7016 1.5598 5.1980
0.0000 -3.1195 5.1980
Be V Pb O
2 1 2 6
direct
0.0916 0.0916 0.0916 Be
0.9084 0.9084 0.9084 Be
0.5000 0.5000 0.5000 V
0.2856 0.2856 0.2856 Pb
0.7144 0.7144 0.7144 Pb
0.2412 0.7443 0.7443 O
0.2557 0.2557 0.7588 O
0.2557 0.7588 0.2557 O
0.7443 0.2412 0.7443 O
0.7443 0.7443 0.2412 O
0.7588 0.2557 0.2557 O